Here is a geometry-optimized HoNi4Rh structure from Alexandria. Energies are from PBE-GGA.

Structure (POSCAR):
```
HoNi4Rh
1.0
4.8681 0.0000 0.0000
2.4340 4.2159 0.0000
2.4340 1.4053 3.9748
Ho Ni Rh
1 4 1
direct
0.0000 0.0000 0.0000
0.6241 0.6241 0.1278
0.1278 0.6241 0.6241
0.6241 0.6241 0.6241
0.6241 0.1278 0.6241
0.2500 0.2500 0.2500
```

Calculated values
- crystal system = cubic
- symmetry = F-43m (216)
- distance to the lowest polymorph of the same formula (eV per atom) = 0.000
- calculated density (kg/m³) = 10231

***

Here is a geometry-optimized Y4Sc structure from Alexandria. Energies are from PBE-GGA.

Structure (POSCAR):
```
Y4Sc
1.0
-2.1327 -0.9854 2.6239
1.1883 -2.1603 2.5150
3.9187 10.2097 9.3527
Y Sc
4 1
direct
0.7985 0.7985 0.6025
0.2015 0.2015 0.3975
0.6029 0.6029 0.1905
0.3971 0.3971 0.8095
0.0000 0.0000 0.0000
```

Calculated values
- crystal system = monoclinic
- symmetry = C2/m (12)
- distance to the lowest polymorph of the same formula (eV per atom) = 0.007
- calculated density (kg/m³) = 4344

***

Here is a geometry-optimized SrIrIN2 structure from Alexandria. Energies are from PBE-GGA.

Structure (POSCAR):
```
SrIrIN2
1.0
4.1313 0.0000 0.0000
0.0000 4.1313 0.0000
0.0000 0.0000 5.6083
N Sr Ir I
2 1 1 1
direct
0.0000 0.5000 0.0000
0.5000 0.0000 0.0000
0.5000 0.5000 0.5000
0.0000 0.0000 0.0000
0.0000 0.0000 0.5000
```

Calculated values
- crystal system = tetragonal
- symmetry = P4/mmm (123)
- distance to the lowest polymorph of the same formula (eV per atom) = 0.000
- calculated density (kg/m³) = 7542

***

Here is a geometry-optimized MgMn2P structure from Alexandria. Energies are from PBE-GGA.

Structure (POSCAR):
```
MgMn2P
1.0
4.7597 -0.0003 -0.0009
-2.3563 4.5058 -0.0038
0.0471 0.8284 2.5993
Mg P Mn
1 1 2
direct
0.5000 0.5000 0.0000
0.0000 0.5000 0.5000
0.0000 0.0000 0.0000
0.5000 0.0000 0.5000
```

Calculated values
- crystal system = monoclinic
- E_tot (eV/atom) = -6.147
- symmetry = C2/m (12)
- calculated density (kg/m³) = 4918

***

Here is a geometry-optimized Sn2BiAu structure from Alexandria. Energies are from PBE-GGA.

Structure (POSCAR):
```
Sn2BiAu
1.0
-2.9602 0.1993 2.0390
-1.3016 -2.9498 -1.6014
3.5231 -4.5740 5.5620
Bi Sn Au
1 2 1
direct
0.5000 0.5000 0.5000
0.0000 0.0000 0.2108
0.0000 0.0000 0.7892
0.5000 0.5000 0.0000
```

Calculated values
- crystal system = tetragonal
- E_tot (eV/atom) = -3.789
- symmetry = P4/mmm (123)
- calculated density (kg/m³) = 10282

***

Here is a geometry-optimized Pr2Sc2Sb2C structure from Alexandria. Energies are from PBE-GGA.

Structure (POSCAR):
```
Pr2Sc2Sb2C
1.0
4.5584 0.0000 0.0000
0.0000 4.5584 0.0000
-2.2792 -2.2792 8.1665
Sb Sc Pr C
2 2 2 1
direct
0.6313 0.6313 0.2626
0.3687 0.3687 0.7373
0.5000 0.0000 0.0000
0.0000 0.5000 0.0000
0.1641 0.1641 0.3281
0.8359 0.8359 0.6719
0.0000 0.0000 0.0000
```

Calculated values
- crystal system = tetragonal
- E_tot (eV/atom) = -6.619
- symmetry = I4/mmm (139)
- calculated density (kg/m³) = 6138

***

Here is a geometry-optimized Sr2LiCaAu structure from Alexandria. Energies are from PBE-GGA.

Structure (POSCAR):
```
Sr2LiCaAu
1.0
6.0954 0.0000 0.0000
0.0000 6.0954 0.0000
0.0000 0.0000 5.7882
Sr Au Li Ca
2 1 1 1
direct
0.0000 0.5000 0.0000
0.5000 0.0000 0.0000
0.0000 0.0000 0.0000
0.5000 0.5000 0.5000
0.0000 0.0000 0.5000
```

Calculated values
- crystal system = tetragonal
- symmetry = P4/mmm (123)
- distance to the lowest polymorph of the same formula (eV per atom) = 0.000
- calculated density (kg/m³) = 3237

***

Here is a geometry-optimized K2ZrAs structure from Alexandria. Energies are from PBE-GGA.

Structure (POSCAR):
```
K2ZrAs
1.0
3.1015 0.0000 0.0000
0.0000 3.1015 0.0000
0.0000 0.0000 12.1227
Zr K As
1 2 1
direct
0.5000 0.5000 0.2500
0.0000 0.0000 0.5440
0.0000 0.0000 0.9560
0.5000 0.5000 0.7500
```

Calculated values
- crystal system = tetragonal
- E_tot (eV/atom) = -3.428
- symmetry = P4/mmm (123)
- calculated density (kg/m³) = 3479

***

Here is a geometry-optimized Ho3Be2Ge4 structure from Alexandria. Energies are from PBE-GGA.

Structure (POSCAR):
```
Ho3Be2Ge4
1.0
-2.2814 0.8039 -3.1493
2.6030 -5.0116 -0.6612
-6.4410 -2.3664 4.0619
Ge Ho Be
4 3 2
direct
0.0646 0.1291 0.3813
0.2885 0.5770 0.9316
0.7115 0.4230 0.0684
0.9354 0.8709 0.6187
0.3367 0.6735 0.3335
0.0000 0.0000 0.0000
0.6633 0.3265 0.6665
0.3923 0.7846 0.7177
0.6077 0.2154 0.2823
```

Calculated values
- crystal system = monoclinic
- symmetry = C2/m (12)
- distance to the lowest polymorph of the same formula (eV per atom) = 0.000
- calculated density (kg/m³) = 8037

***

Here is a geometry-optimized Nd2Y4HoSc structure from Alexandria. Energies are from PBE-GGA.

Structure (POSCAR):
```
Nd2Y4HoSc
1.0
-3.6265 -1.5127 3.1533
3.4835 -1.9676 3.0625
4.1053 6.7536 7.9613
Y Nd Ho Sc
4 2 1 1
direct
0.5000 0.7453 0.2542
0.0000 0.2451 0.2544
0.0000 0.7549 0.7456
0.5000 0.2547 0.7458
0.0000 0.0000 0.0000
0.5000 0.0000 0.5000
0.5000 0.5000 0.0000
0.0000 0.5000 0.5000
```

Calculated values
- crystal system = tetragonal
- E_tot (eV/atom) = -5.752
- symmetry = P4/mmm (123)
- calculated density (kg/m³) = 5574

***

Here is a geometry-optimized Tc2AgIr structure from Alexandria. Energies are from PBE-GGA.

Structure (POSCAR):
```
Tc2AgIr
1.0
2.7074 0.0054 0.0000
-1.2292 2.4123 0.0000
0.0000 0.0000 9.5156
Ag Ir Tc
1 1 2
direct
0.0000 0.0000 0.4998
0.5000 0.5000 0.7639
0.0000 0.0000 0.0028
0.5000 0.5000 0.2335
```

Calculated values
- crystal system = orthorhombic
- symmetry = Cmm2 (35)
- distance to the lowest polymorph of the same formula (eV per atom) = 0.211
- calculated density (kg/m³) = 13241

***

Here is a geometry-optimized Ge2Se2Br structure from Alexandria. Energies are from PBE-GGA.

Structure (POSCAR):
```
Ge2Se2Br
1.0
7.3533 0.4084 0.4138
4.0031 6.1428 0.1292
3.9776 0.1271 7.4305
Br Ge Se
2 4 4
direct
0.1269 0.1559 0.7726
0.8731 0.8441 0.2274
0.2806 0.7646 0.5048
0.2888 0.8047 0.0837
0.7112 0.1953 0.9163
0.7194 0.2354 0.4952
0.4596 0.4619 0.2973
0.8147 0.9083 0.7139
0.1853 0.0917 0.2861
0.5404 0.5381 0.7027
```

Calculated values
- crystal system = triclinic
- symmetry = P-1 (2)
- distance to the lowest polymorph of the same formula (eV per atom) = 0.000
- calculated density (kg/m³) = 4056

***

Number 11 is which compound?
Tc2AgIr

***

Number 5 is which compound?
Sn2BiAu